Here is crystalline KCuF3 at its relaxed geometry from the Alexandria database. Energies are from GGA-PBE.

Unit cell a=4.6873 b=4.6873 c=4.6873 alpha=90.00 beta=90.00 gamma=90.00
Each line ends with the local moment (μB).
Positions (direct):
K  0.0000  0.0000  0.0000  0.05
Cu  0.5000  0.5000  0.5000  0.19
F  0.0000  0.5000  0.0000  0.19
F  0.0000  0.0000  0.5000  0.43
F  0.5000  0.0000  0.0000  0.06

Values from the calculation:
DOS(E_F): 16.30 states/eV/cell
Raw formation energy: -4.030 eV/f.u.
Space-group type: No. 221